The following is a DFT calculation (PBE) of a geometry-optimized ZnInCo2 structure.

Cell: 2.8685 2.8685 25.7229 Å, 90.00 90.00 120.00°
With the nearest neighbours (Å) after each atom.
Space group R3m (No. 160, hexagonal axes)
Symmetry-distinct sites (fractional):
Zn: 0.0000 0.0000 0.0000 (multiplicity 3)  3 Co 2.58, 6 Zn 2.87
In: 0.0000 0.0000 0.2314 (multiplicity 3)  3 Co 2.79, 6 In 2.87, 3 Zn 3.10
Co: 0.0000 0.0000 0.4773 (multiplicity 3)  3 Co 2.39
Co: 0.0000 0.0000 0.7436 (multiplicity 3)  3 Co 2.39, 3 Zn 2.58

Properties
Its density of states at the Fermi level is 15.91 states/eV per cell. As for the formation energy: 0.347 eV per atom. Its total energy is -16.8 eV per formula unit.